Entry 1:
# CdMo2W

CdMo2W after structural relaxation (PBE-GGA, Alexandria).

Cell and atoms, written as extended XYZ:
```
4
Lattice="2.6934 0.0000 0.0000 0.0000 2.6934 0.0000 0.0000 0.0000 9.4003" Properties=species:S:1:pos:R:3 pbc="T T T"
Cd 0.0000 0.0000 0.0000
Mo 0.0000 0.0000 4.6940
Mo 1.3467 1.3467 2.4015
W 1.3467 1.3467 6.9891
```

Summary:
Symmetry = P4mm (99)
Calculated total energy = -8.395 eV/atom

***

Entry 2:
# YCdMo2

YCdMo2 after structural relaxation (PBE-GGA, Alexandria).

Cell and atoms, written as extended XYZ:
```
4
Lattice="3.0206 0.0000 0.0000 0.0000 4.3199 0.0000 -1.0955 0.0000 6.1700" Properties=species:S:1:pos:R:3 pbc="T T T"
Y 0.0000 0.0000 0.0000
Cd 1.5105 2.1599 1.7842
Mo -0.0821 0.0000 3.3659
Mo 0.6642 2.1599 4.5177
```

Summary:
Symmetry = Pm (6)
Calculated total energy = -6.987 eV/atom

***

Entry 3:
# YCd2Mo2

YCd2Mo2 after structural relaxation (PBE-GGA, Alexandria).

Cell and atoms, written as extended XYZ:
```
10
Lattice="8.5113 0.0000 0.0000 0.0000 8.5113 0.0000 0.0000 0.0000 2.8647" Properties=species:S:1:pos:R:3 pbc="T T T"
Y 0.0000 0.0000 0.0000
Y 4.2556 4.2556 0.0000
Cd 1.5864 2.6692 0.0000
Cd 2.6692 6.9248 0.0000
Cd 5.8421 1.5864 0.0000
Cd 6.9248 5.8421 0.0000
Mo 0.8816 5.1373 1.4323
Mo 3.3740 0.8816 1.4323
Mo 5.1373 7.6296 1.4323
Mo 7.6296 3.3740 1.4323
```

Summary:
Symmetry = P4/mbm (127)
Calculated total energy = -5.549 eV/atom

***

Entry 4:
# YCdMo2

YCdMo2 after structural relaxation (PBE-GGA, Alexandria).

Cell and atoms, written as extended XYZ:
```
4
Lattice="2.9514 0.0000 0.0000 0.0000 5.0768 0.0000 -0.5689 0.0000 5.3882" Properties=species:S:1:pos:R:3 pbc="T T T"
Y 0.0000 0.0000 0.0000
Cd 1.1913 0.0000 2.6941
Mo 0.5305 2.5384 4.2088
Mo 1.8521 2.5384 1.1794
```

Summary:
Symmetry = P2/m (10)
Calculated total energy = -6.805 eV/atom